No. 1
## ZrHg2Cl (GGA-PBE)

Data for a relaxed ZrHg2Cl crystal.

Cell and atoms, written as POSCAR:
```
ZrHg2Cl
1.0
2.8628 -4.8413 0.0000
2.8628 4.8413 0.0000
0.0000 0.0000 3.2392
Zr Hg Cl
1 2 1
Direct
0.0000 0.0000 0.0000
0.0000 0.5000 0.5000
0.5000 0.0000 0.5000
0.5000 0.5000 0.0000
```

Computed properties:
symmetry = No. 65
formation energy from raw total energies = -0.22 eV per atom
offset from the most stable computed form = 316 meV/atom
total magnetic moment = 0.0 μB/cell
E_tot = -0.2184 Ry/atom



No. 2
## Tb5InPt2 (GGA-PBE)

Data for a relaxed Tb5InPt2 crystal.

Cell and atoms, written as POSCAR:
```
Tb5InPt2
1.0
-3.9510 3.9510 6.7419
3.9510 -3.9510 6.7419
3.9510 3.9510 -6.7419
Tb In Pt
10 2 4
Direct
0.0000 0.0000 0.0000
0.0224 0.5224 0.8193
0.2031 0.0224 0.5000
0.2969 0.7969 0.8193
0.4776 0.2969 0.5000
0.5000 0.5000 0.0000
0.5224 0.7031 0.5000
0.7031 0.2031 0.1807
0.7969 0.9776 0.5000
0.9776 0.4776 0.1807
0.2500 0.2500 0.0000
0.7500 0.7500 0.0000
0.1359 0.3641 0.5000
0.3641 0.8641 0.2283
0.6359 0.1359 0.7717
0.8641 0.6359 0.5000
```

Computed properties:
symmetry = No. 140
total magnetic moment = 0.0 μB/cell
E_tot = -0.4084 Ry/atom



No. 3
## LaNd2MnN4 (GGA-PBE)

Data for a relaxed LaNd2MnN4 crystal.

Cell and atoms, written as POSCAR:
```
LaNd2MnN4
1.0
1.7631 -5.9699 0.0000
1.7631 5.9699 0.0000
0.0000 0.0000 12.1363
La Nd Mn N
2 4 2 8
Direct
0.1034 0.8966 0.7500
0.8966 0.1034 0.2500
0.3688 0.6312 0.5453
0.3688 0.6312 0.9547
0.6312 0.3688 0.0453
0.6312 0.3688 0.4547
0.1682 0.8318 0.2500
0.8318 0.1682 0.7500
0.0000 0.0000 0.0000
0.0000 0.0000 0.5000
0.2721 0.7279 0.1344
0.2721 0.7279 0.3656
0.4173 0.5827 0.7500
0.5827 0.4173 0.2500
0.7279 0.2721 0.6344
0.7279 0.2721 0.8656
```

Computed properties:
symmetry = No. 63
formation energy from raw total energies = -1.02 eV per atom
total magnetic moment = 7.2 μB/cell
E_tot = -0.5980 Ry/atom



No. 4
## BaGa2HgPt (GGA-PBE)

Data for a relaxed BaGa2HgPt crystal.

Cell and atoms, written as POSCAR:
```
BaGa2HgPt
1.0
4.8957 0.0000 0.0000
0.0000 4.8957 0.0000
0.0000 0.0000 6.2442
Ba Ga Hg Pt
1 2 1 1
Direct
0.0000 0.0000 0.0000
0.0000 0.5000 0.5000
0.5000 0.0000 0.5000
0.5000 0.5000 0.0000
0.0000 0.0000 0.5000
```

Computed properties:
symmetry = No. 123
offset from the most stable computed form = 0 meV/atom
total magnetic moment = 0.0 μB/cell
E_tot = -0.2431 Ry/atom



No. 5
## CeCr2Si2C (GGA-PBE)

Data for a relaxed CeCr2Si2C crystal.

Cell and atoms, written as POSCAR:
```
CeCr2Si2C
1.0
3.9873 0.0000 0.0000
0.0000 3.9873 0.0000
0.0000 0.0000 5.2559
Ce Cr Si C
1 2 2 1
Direct
0.0000 0.0000 0.0000
0.0000 0.5000 0.5000
0.5000 0.0000 0.5000
0.5000 0.5000 0.2292
0.5000 0.5000 0.7708
0.0000 0.0000 0.5000
```

Computed properties:
symmetry = No. 123
formation energy from raw total energies = -0.50 eV per atom
total magnetic moment = 0.4 μB/cell
E_tot = -0.5911 Ry/atom



No. 6
## TbNb2CoN4 (GGA-PBE)

Data for a relaxed TbNb2CoN4 crystal.

Cell and atoms, written as POSCAR:
```
TbNb2CoN4
1.0
1.5725 -5.3370 0.0000
1.5725 5.3370 0.0000
0.0000 0.0000 10.8249
Tb Nb Co N
2 4 2 8
Direct
0.1095 0.8905 0.7500
0.8905 0.1095 0.2500
0.3691 0.6309 0.5580
0.3691 0.6309 0.9420
0.6309 0.3691 0.0580
0.6309 0.3691 0.4420
0.1567 0.8433 0.2500
0.8433 0.1567 0.7500
0.0000 0.0000 0.0000
0.0000 0.0000 0.5000
0.2739 0.7261 0.1144
0.2739 0.7261 0.3856
0.4490 0.5510 0.7500
0.5510 0.4490 0.2500
0.7261 0.2739 0.6144
0.7261 0.2739 0.8856
```

Computed properties:
symmetry = No. 63
formation energy from raw total energies = -0.98 eV per atom
total magnetic moment = 0.0 μB/cell
E_tot = -0.6707 Ry/atom



No. 7
## LaNd5Ho2Tm (GGA-PBE)

Data for a relaxed LaNd5Ho2Tm crystal.

Cell and atoms, written as POSCAR:
```
LaNd5Ho2Tm
1.0
2.8637 -10.1585 0.0000
2.8637 10.1585 0.0000
0.0000 0.0000 10.6744
La Nd Ho Tm
2 10 4 2
Direct
0.0853 0.9147 0.5000
0.9147 0.0853 0.0000
0.0189 0.9811 0.7880
0.1165 0.8835 0.0691
0.2034 0.7966 0.7540
0.2202 0.7798 0.3623
0.4830 0.5170 0.0683
0.5170 0.4830 0.5683
0.7798 0.2202 0.8623
0.7966 0.2034 0.2540
0.8835 0.1165 0.5691
0.9811 0.0189 0.2880
0.3848 0.6152 0.3637
0.3858 0.6142 0.7805
0.6142 0.3858 0.2805
0.6152 0.3848 0.8637
0.3013 0.6987 0.0583
0.6987 0.3013 0.5583
```

Computed properties:
symmetry = No. 36
total magnetic moment = 0.0 μB/cell
E_tot = -0.3352 Ry/atom



No. 8
## BC2 (GGA-PBE)

Data for a relaxed BC2 crystal.

Cell and atoms, written as POSCAR:
```
BC2
1.0
4.6417 0.0000 0.0000
0.0000 2.5656 0.0000
-0.2801 0.0000 6.5096
B C
4 8
Direct
0.0000 0.0000 0.0000
0.0898 0.5000 0.6559
0.5272 0.5000 0.7888
0.7893 0.5000 0.1180
0.1566 0.5000 0.4217
0.3109 0.0000 0.3453
0.3193 0.0000 0.1053
0.4543 0.5000 0.0220
0.6406 0.0000 0.4404
0.6434 0.0000 0.6777
0.7986 0.5000 0.3628
0.9690 0.0000 0.7583
```

Computed properties:
symmetry = No. 6
offset from the most stable computed form = 112 meV/atom
total magnetic moment = 0.0 μB/cell
E_tot = -0.5897 Ry/atom



No. 9
## ScHg (GGA-PBE)

Data for a relaxed ScHg crystal.

Cell and atoms, written as POSCAR:
```
ScHg
1.0
3.4515 0.0000 0.0000
-1.7258 2.9891 0.0000
0.0000 0.0000 9.0651
Sc Hg
2 2
Direct
0.3333 0.6667 0.2500
0.6667 0.3333 0.7500
0.0000 0.0000 0.0000
0.0000 0.0000 0.5000
```

Computed properties:
symmetry = No. 194
total magnetic moment = 0.0 μB/cell
E_tot = -0.2642 Ry/atom



No. 10
## Y2As3Pd5 (GGA-PBE)

Data for a relaxed Y2As3Pd5 crystal.

Cell and atoms, written as POSCAR:
```
Y2As3Pd5
1.0
2.1708 -12.0591 0.0000
2.1708 12.0591 0.0000
0.0000 0.0000 6.9436
Y As Pd
4 6 10
Direct
0.0210 0.9790 0.5000
0.3259 0.6741 0.5333
0.6741 0.3259 0.0333
0.9790 0.0210 0.0000
0.1081 0.8919 0.2028
0.2749 0.7251 0.0973
0.4521 0.5479 0.2986
0.5479 0.4521 0.7986
0.7251 0.2749 0.5973
0.8919 0.1081 0.7028
0.1063 0.8937 0.8225
0.1989 0.8011 0.3880
0.2251 0.7749 0.7874
0.3768 0.6232 0.0347
0.4460 0.5540 0.6913
0.5540 0.4460 0.1913
0.6232 0.3768 0.5347
0.7749 0.2251 0.2874
0.8011 0.1989 0.8880
0.8937 0.1063 0.3225
```

Computed properties:
symmetry = No. 36
total magnetic moment = 0.0 μB/cell
E_tot = -0.4498 Ry/atom



No. 11
## SrGaCu2Pd2 (GGA-PBE)

Data for a relaxed SrGaCu2Pd2 crystal.

Cell and atoms, written as POSCAR:
```
SrGaCu2Pd2
1.0
4.7220 0.0000 0.0000
0.0000 4.7220 0.0000
0.0000 0.0000 5.8669
Sr Ga Cu Pd
1 1 2 2
Direct
0.0000 0.0000 0.0000
0.0000 0.0000 0.5000
0.5000 0.5000 0.2793
0.5000 0.5000 0.7207
0.0000 0.5000 0.5000
0.5000 0.0000 0.5000
```

Computed properties:
symmetry = No. 123
total magnetic moment = 0.0 μB/cell
E_tot = -0.2897 Ry/atom



No. 12
## MgCdHg2 (GGA-PBE)

Data for a relaxed MgCdHg2 crystal.

Cell and atoms, written as POSCAR:
```
MgCdHg2
1.0
-2.2547 2.2547 9.9262
2.2547 -2.2547 9.9262
2.2547 2.2547 -9.9262
Mg Cd Hg
2 2 4
Direct
0.0000 0.0000 0.0000
0.7500 0.2500 0.5000
0.2500 0.7500 0.5000
0.5000 0.5000 0.0000
0.1152 0.6250 0.9902
0.3750 0.3652 0.4902
0.6348 0.1250 0.0098
0.8750 0.8848 0.5098
```

Computed properties:
symmetry = No. 122
total magnetic moment = 0.0 μB/cell
E_tot = -0.0581 Ry/atom